one:
Compound: WAu5
Source: the Alexandria database
Functional: PBE
Structure: relaxed

extended XYZ file:
```
6
Lattice="-3.3090 1.8649 3.7872 -1.7582 -0.6197 -5.0294 -1.3646 -4.5214 1.0341" Properties=species:S:1:pos:R:3 pbc="T T T"
W 0.0000 0.0000 0.0000
Au -1.5614 -2.5705 -1.9977
Au -2.2751 0.2085 -2.0906
Au -2.3368 -1.3282 2.4107
Au -3.2159 -1.6381 -0.1041
Au -2.7921 1.0367 0.8483
```

Properties
Fermi-level density of states (states/eV per atom): 0.75
Magnetization (μB/atom): 0.59

=====

two:
Compound: WAu5
Source: the Alexandria database
Functional: PBE
Structure: relaxed

extended XYZ file:
```
6
Lattice="0.0000 3.8397 3.8397 3.8397 0.0000 3.8397 3.8397 3.8397 0.0000" Properties=species:S:1:pos:R:3 pbc="T T T"
W 0.0000 0.0000 0.0000
Au 2.8789 4.8004 4.8004
Au 5.7595 5.7595 5.7595
Au 4.8004 2.8789 4.8004
Au 2.8789 2.8789 2.8789
Au 4.8004 4.8004 2.8789
```

Properties
Fermi-level density of states (states/eV per atom): 0.62
Magnetization (μB/atom): 0.49

=====

three:
Compound: WAu5
Source: the Alexandria database
Functional: PBE
Structure: relaxed

extended XYZ file:
```
6
Lattice="1.4127 -7.7664 0.0000 1.4127 7.7664 0.0000 0.0000 0.0000 4.8153" Properties=species:S:1:pos:R:3 pbc="T T T"
W 1.4127 6.0808 2.4077
Au 1.4127 7.7016 0.0000
Au 1.4127 2.5224 0.0000
Au 1.4127 -2.5686 0.0000
Au 1.4127 0.8231 2.4077
Au 1.4127 -4.2041 2.4077
```

Properties
Fermi-level density of states (states/eV per atom): 0.68
Magnetization (μB/atom): 0.00

=====

Relative energy table, unit eV/atom: one 0.533; two 0.424; three 0.000

=====

one:
Compound: Zn2WAu
Source: the Alexandria database
Functional: PBE
Structure: relaxed

extended XYZ file:
```
4
Lattice="6.3431 0.2208 0.7380 -2.7723 4.1705 -0.3274 0.7986 0.7263 2.4275" Properties=species:S:1:pos:R:3 pbc="T T T"
Au -0.9868 2.4484 1.0501
W 1.7854 2.1956 0.2053
Zn 0.0000 0.0000 0.0000
Zn 3.5708 0.4735 1.5828
```

Properties
Fermi-level density of states (states/eV per atom): 0.48
Magnetization (μB/atom): 0.00

=====

two:
Compound: Zn2WAu
Source: the Alexandria database
Functional: PBE
Structure: relaxed

extended XYZ file:
```
4
Lattice="-1.7265 -0.6737 2.0316 2.3082 -0.4325 1.4309 -0.0942 7.9104 2.5430" Properties=species:S:1:pos:R:3 pbc="T T T"
Au 0.2673 1.4245 2.3671
W 0.2202 5.3797 3.6386
Zn -0.0939 7.8853 2.5350
Zn -0.0474 3.9803 1.2796
```

Properties
Fermi-level density of states (states/eV per atom): 0.35
Magnetization (μB/atom): 0.00

=====

Relative energy table, unit eV/atom: one 0.126; two 0.000

=====

one:
Compound: Zn2WAu
Source: the Alexandria database
Functional: PBE
Structure: relaxed

extended XYZ file:
```
4
Lattice="5.3888 0.1150 0.5078 4.6699 2.6916 0.5078 1.6751 0.4674 4.6998" Properties=species:S:1:pos:R:3 pbc="T T T"
Au 6.0530 1.6890 3.2969
W 2.7762 0.7747 0.9529
Zn 10.1773 2.8398 1.4855
Zn 8.6530 2.4144 3.8533
```

Properties
Fermi-level density of states (states/eV per atom): 0.74
Magnetization (μB/atom): 0.00

=====

two:
Compound: Zn2WAu
Source: the Alexandria database
Functional: PBE
Structure: relaxed

extended XYZ file:
```
4
Lattice="-0.5729 -1.4690 2.2573 -2.1139 -1.1848 -1.3075 4.9986 -6.0055 -2.6398" Properties=species:S:1:pos:R:3 pbc="T T T"
Au -0.0937 -2.8283 -0.1850
W 2.4056 -5.8310 -1.5049
Zn 4.9783 -5.9811 -2.6290
Zn 2.5196 -3.0272 -1.3306
```

Properties
Fermi-level density of states (states/eV per atom): 0.46
Magnetization (μB/atom): 0.00

=====

Relative energy table, unit eV/atom: one 0.115; two 0.000

=====

one:
Compound: Zn2WAu
Source: the Alexandria database
Functional: PBE
Structure: relaxed

extended XYZ file:
```
4
Lattice="0.0000 3.1450 3.1450 3.1450 0.0000 3.1450 3.1450 3.1450 0.0000" Properties=species:S:1:pos:R:3 pbc="T T T"
Zn 1.5725 1.5725 1.5725
Zn 4.7175 4.7175 4.7175
Au 3.1450 3.1450 3.1450
W 0.0000 0.0000 0.0000
```

Properties
Fermi-level density of states (states/eV per atom): 0.55
Magnetization (μB/atom): 0.30

=====

two:
Compound: Zn2WAu
Source: the Alexandria database
Functional: PBE
Structure: relaxed

extended XYZ file:
```
4
Lattice="-0.4826 -2.7215 0.1091 2.4243 -0.3318 1.2900 -3.7304 0.9523 7.2552" Properties=species:S:1:pos:R:3 pbc="T T T"
Au -1.8465 0.4714 3.5913
W -1.8591 -0.8042 6.2035
Zn -0.0142 0.0036 0.0276
Zn 0.0660 -1.2956 2.4595
```

Properties
Fermi-level density of states (states/eV per atom): 0.60
Magnetization (μB/atom): 0.00

=====

three:
Compound: Zn2WAu
Source: the Alexandria database
Functional: PBE
Structure: relaxed

extended XYZ file:
```
4
Lattice="-1.3086 -2.7440 -3.0990 -0.0670 -2.0257 1.8220 -5.1491 1.1468 1.1588" Properties=species:S:1:pos:R:3 pbc="T T T"
Au -1.9583 -1.5917 -0.8043
W -4.5664 -2.0312 0.6861
Zn -5.0371 0.6385 1.5616
Zn -2.7201 0.0688 1.0876
```

Properties
Fermi-level density of states (states/eV per atom): 0.54
Magnetization (μB/atom): 0.00

=====

four:
Compound: Zn2WAu
Source: the Alexandria database
Functional: PBE
Structure: relaxed

extended XYZ file:
```
4
Lattice="-0.4555 -0.1850 2.7388 -2.1912 -2.9186 -0.5615 4.7850 -3.6976 0.5461" Properties=species:S:1:pos:R:3 pbc="T T T"
Au -0.1271 -2.4762 1.2251
W 2.2654 -4.3249 1.4982
Zn 4.7561 -3.6753 0.5428
Zn 2.4214 -1.8711 0.2763
```

Properties
Fermi-level density of states (states/eV per atom): 0.70
Magnetization (μB/atom): 0.00

=====

Relative energy table, unit eV/atom: one 0.279; two 0.000; three 0.051; four 0.056

=====

one:
Compound: Zn2WAu
Source: the Alexandria database
Functional: PBE
Structure: relaxed

extended XYZ file:
```
4
Lattice="-0.2589 2.4475 -1.5188 -4.7411 -0.8989 -0.6404 -0.9491 2.2767 3.8307" Properties=species:S:1:pos:R:3 pbc="T T T"
Au -0.6040 2.3621 1.1560
W -2.8451 0.6889 1.5951
Zn 0.0000 0.0000 0.0000
Zn -2.5000 0.7743 -1.0796
```

Properties
Fermi-level density of states (states/eV per atom): 0.63
Magnetization (μB/atom): 0.00

=====

two:
Compound: Zn2WAu
Source: the Alexandria database
Functional: PBE
Structure: relaxed

extended XYZ file:
```
4
Lattice="-1.4743 3.9109 8.3886 -4.1743 3.5129 7.6205 -2.7270 1.4105 8.8550" Properties=species:S:1:pos:R:3 pbc="T T T"
Au -4.1974 4.4272 12.4603
W -6.2634 6.6064 18.5935
Zn -0.0033 0.0035 0.0098
Zn -2.0994 2.2144 6.2324
```

Properties
Fermi-level density of states (states/eV per atom): 0.57
Magnetization (μB/atom): 0.00

=====

three:
Compound: Zn2WAu
Source: the Alexandria database
Functional: PBE
Structure: relaxed

extended XYZ file:
```
4
Lattice="4.7456 -0.0147 -0.0158 3.9387 2.6471 -0.0158 0.9036 0.2739 5.0516" Properties=species:S:1:pos:R:3 pbc="T T T"
Au 7.1909 2.1797 3.7650
W 2.3970 0.7266 1.2550
Zn 0.0191 0.0058 0.0915
Zn 4.7749 1.4474 2.4185
```

Properties
Fermi-level density of states (states/eV per atom): 0.82
Magnetization (μB/atom): 0.00

=====

four:
Compound: Zn2WAu
Source: the Alexandria database
Functional: PBE
Structure: relaxed

extended XYZ file:
```
8
Lattice="-3.9650 5.8121 0.1999 -3.8669 -2.8155 5.1635 -2.2185 2.5920 4.5493" Properties=species:S:1:pos:R:3 pbc="T T T"
Zn -3.5445 3.9702 1.9091
Zn -3.4386 -0.4268 4.3880
Zn -4.5731 3.0879 5.3862
Zn -8.5444 4.5459 8.1418
Au 0.0000 0.0000 0.0000
Au -5.0497 4.9512 3.7154
W -3.9159 1.4983 2.6817
W -5.0006 0.6374 6.1972
```

Properties
Fermi-level density of states (states/eV per atom): 1.00
Magnetization (μB/atom): 0.00

=====

Relative energy table, unit eV/atom: one 0.117; two 0.000; three 0.054; four 0.438

=====

one:
Compound: Zn2WAu
Source: the Alexandria database
Functional: PBE
Structure: relaxed

extended XYZ file:
```
4
Lattice="-0.1911 -0.9960 -4.1699 0.6041 -2.5965 0.5925 -4.8756 -2.4029 0.7974" Properties=species:S:1:pos:R:3 pbc="T T T"
Au -2.0714 -2.3218 0.6495
W -3.4243 -4.4434 -0.9900
Zn -4.6793 -2.8684 0.8996
Zn -1.2991 -1.2644 -1.8467
```

Properties
Fermi-level density of states (states/eV per atom): 0.76
Magnetization (μB/atom): 0.00

=====

two:
Compound: Zn2WAu
Source: the Alexandria database
Functional: PBE
Structure: relaxed

extended XYZ file:
```
4
Lattice="9.1366 -0.0169 -0.0099 8.6937 2.8101 -0.0099 8.6937 1.3619 2.4580" Properties=species:S:1:pos:R:3 pbc="T T T"
Au 6.6310 1.0388 0.6095
W 19.8931 3.1163 1.8286
Zn 0.0202 0.0032 0.0019
Zn 13.2418 2.0744 1.2172
```

Properties
Fermi-level density of states (states/eV per atom): 0.83
Magnetization (μB/atom): 0.00

=====

Relative energy table, unit eV/atom: one 0.093; two 0.000

=====

one:
Compound: Zn2WAu
Source: the Alexandria database
Functional: PBE
Structure: relaxed

extended XYZ file:
```
4
Lattice="-3.7188 -0.3526 -0.2924 0.0928 -3.1334 2.5982 -0.4891 2.5715 3.1186" Properties=species:S:1:pos:R:3 pbc="T T T"
Au -1.8130 -1.7430 1.1529
W -2.1039 1.1095 1.4131
Zn 0.0000 0.0000 0.0000
Zn -0.1982 -0.2810 2.8584
```

Properties
Fermi-level density of states (states/eV per atom): 0.70
Magnetization (μB/atom): 0.00

=====

two:
Compound: Zn2WAu
Source: the Alexandria database
Functional: PBE
Structure: relaxed

extended XYZ file:
```
4
Lattice="-2.2471 -0.0110 -4.4699 0.1493 -4.4402 -2.3006 -1.3193 1.5282 4.5775" Properties=species:S:1:pos:R:3 pbc="T T T"
Au -1.0489 -2.2256 -3.3852
W -2.3077 -0.3542 -1.6388
Zn 0.0000 0.0000 0.0000
Zn -1.1095 -2.5688 -0.5541
```

Properties
Fermi-level density of states (states/eV per atom): 0.78
Magnetization (μB/atom): 0.12

=====

Relative energy table, unit eV/atom: one 0.000; two 0.159

=====

one:
Compound: Zn2WAu2
Source: the Alexandria database
Functional: PBE
Structure: relaxed

extended XYZ file:
```
5
Lattice="-2.7462 1.5231 2.1739 -2.3385 -2.8681 -0.9448 -0.6187 -3.7523 5.2025" Properties=species:S:1:pos:R:3 pbc="T T T"
Zn -2.1712 -1.2667 1.4998
Zn -3.5322 -3.8306 4.9319
Au -2.9536 -1.4509 3.9955
Au -2.7498 -3.6465 2.4361
W 0.0000 0.0000 0.0000
```

Properties
Fermi-level density of states (states/eV per atom): 0.44
Magnetization (μB/atom): 0.00

=====

two:
Compound: Zn2WAu2
Source: the Alexandria database
Functional: PBE
Structure: relaxed

extended XYZ file:
```
10
Lattice="7.4502 0.0000 0.0000 0.0000 7.4502 0.0000 0.0000 0.0000 2.8900" Properties=species:S:1:pos:R:3 pbc="T T T"
Zn 2.7695 6.4946 0.0000
Zn 6.4946 4.6807 0.0000
Zn 4.6807 0.9556 0.0000
Zn 0.9556 2.7695 0.0000
Au 1.2790 5.0041 1.4450
Au 5.0041 6.1712 1.4450
Au 6.1712 2.4461 1.4450
Au 2.4461 1.2790 1.4450
W 0.0000 0.0000 0.0000
W 3.7251 3.7251 0.0000
```

Properties
Fermi-level density of states (states/eV per atom): 1.00
Magnetization (μB/atom): 0.00

=====

Relative energy table, unit eV/atom: one 0.333; two 0.000

=====

one:
Compound: ZrWAu
Source: the Alexandria database
Functional: PBE
Structure: relaxed

extended XYZ file:
```
3
Lattice="-0.7651 3.8956 -5.8146 -4.2904 4.0340 -3.8589 3.1521 -2.3345 5.8469" Properties=species:S:1:pos:R:3 pbc="T T T"
Au -5.0281 7.8868 -9.6213
W -1.7099 2.6820 -3.2718
Zr -3.3729 5.2905 -6.4540
```

Properties
Fermi-level density of states (states/eV per atom): 0.93
Magnetization (μB/atom): 0.00

=====

two:
Compound: ZrWAu
Source: the Alexandria database
Functional: PBE
Structure: relaxed

extended XYZ file:
```
3
Lattice="-0.8530 0.2709 2.7539 -1.8939 -0.8294 -2.0274 1.8188 -7.2811 1.2795" Properties=species:S:1:pos:R:3 pbc="T T T"
Au 0.0136 -0.0544 0.0096
W -0.9579 -2.8208 -0.0192
Zr 0.0162 -4.9645 2.0157
```

Properties
Fermi-level density of states (states/eV per atom): 1.09
Magnetization (μB/atom): 0.00

=====

Relative energy table, unit eV/atom: one 0.000; two 0.193

=====

one:
Compound: ZrWAu
Source: the Alexandria database
Functional: PBE
Structure: relaxed

extended XYZ file:
```
3
Lattice="-4.4349 -0.0211 -2.0472 3.9398 -1.0313 -2.6969 -0.2688 -2.6202 0.6093" Properties=species:S:1:pos:R:3 pbc="T T T"
Au -0.0448 -0.4368 0.1016
W -1.6880 -0.7941 -2.1623
Zr 0.9691 -2.4417 -2.0741
```

Properties
Fermi-level density of states (states/eV per atom): 1.27
Magnetization (μB/atom): 0.00

=====

two:
Compound: ZrWAu
Source: the Alexandria database
Functional: PBE
Structure: relaxed

extended XYZ file:
```
3
Lattice="-3.2033 -2.8464 2.9794 -3.5226 -3.3348 -1.9263 5.0397 1.2782 -0.4552" Properties=species:S:1:pos:R:3 pbc="T T T"
Au -6.6753 -6.1348 1.0452
W -2.2764 -2.0921 0.3564
Zr -4.5000 -4.1357 0.7046
```

Properties
Fermi-level density of states (states/eV per atom): 0.96
Magnetization (μB/atom): 0.00

=====

three:
Compound: ZrWAu
Source: the Alexandria database
Functional: PBE
Structure: relaxed

extended XYZ file:
```
3
Lattice="7.0995 0.0102 -0.0092 6.4556 2.7932 0.0418 0.6439 -0.2340 2.7736" Properties=species:S:1:pos:R:3 pbc="T T T"
Au 0.7080 -0.2190 2.7600
W 9.2054 1.7801 0.9560
Zr 4.9296 0.7742 1.8637
```

Properties
Fermi-level density of states (states/eV per atom): 0.70
Magnetization (μB/atom): 0.00

=====

Relative energy table, unit eV/atom: one 0.141; two 0.133; three 0.000

=====

one:
Compound: ZrWAu2
Source: the Alexandria database
Functional: PBE
Structure: relaxed

extended XYZ file:
```
8
Lattice="3.9464 0.0000 0.0000 0.0000 3.9464 0.0000 1.9732 1.9732 10.0948" Properties=species:S:1:pos:R:3 pbc="T T T"
Au 2.9912 0.9866 2.5237
Au 0.9552 2.9598 2.5237
Au 2.9598 2.9284 7.5711
Au 4.9330 4.9643 7.5711
Zr 1.9732 1.9732 0.0000
Zr 1.9732 3.9464 5.0474
W 0.0000 0.0000 0.0000
W 3.9464 1.9732 5.0474
```

Properties
Fermi-level density of states (states/eV per atom): 1.20
Magnetization (μB/atom): 0.00

=====

two:
Compound: ZrWAu2
Source: the Alexandria database
Functional: PBE
Structure: relaxed

extended XYZ file:
```
4
Lattice="9.9232 -0.0320 -0.0187 9.4935 2.8888 -0.0187 9.4935 1.3968 2.5288" Properties=species:S:1:pos:R:3 pbc="T T T"
Au 28.8670 4.2473 2.4876
Au 7.1806 1.0565 0.6188
W 14.5685 2.1435 1.2554
Zr 21.6594 3.1868 1.8665
```

Properties
Fermi-level density of states (states/eV per atom): 1.02
Magnetization (μB/atom): 0.00

=====

three:
Compound: ZrWAu2
Source: the Alexandria database
Functional: PBE
Structure: relaxed

extended XYZ file:
```
4
Lattice="-2.9309 1.0101 3.9683 -2.5298 -1.9966 3.8693 3.5042 0.3439 3.7520" Properties=species:S:1:pos:R:3 pbc="T T T"
Au -5.4541 -0.9854 7.8307
Au -1.5539 -0.4933 8.6868
W -0.9298 -0.3173 5.8702
Zr -0.4578 -0.1544 2.8344
```

Properties
Fermi-level density of states (states/eV per atom): 0.54
Magnetization (μB/atom): 0.00

=====

four:
Compound: ZrWAu2
Source: the Alexandria database
Functional: PBE
Structure: relaxed

extended XYZ file:
```
4
Lattice="-0.8609 2.0443 -1.8452 -2.4285 0.0947 1.5550 3.5645 6.1857 5.1901" Properties=species:S:1:pos:R:3 pbc="T T T"
Au 0.0050 0.0087 0.0073
Au -0.7146 2.6835 1.2092
W 1.7461 3.0301 2.5424
Zr 1.0209 5.6952 3.7362
```

Properties
Fermi-level density of states (states/eV per atom): 0.80
Magnetization (μB/atom): 0.00

=====

Relative energy table, unit eV/atom: one 0.479; two 0.177; three 0.034; four 0.000